1.
Density functional theory data (PBE-GGA) for a geometry-optimized Sm3Zn2Ag structure.

a = 3.6706 Å, b = 3.6706 Å, c = 10.9351 Å
α = 90.00°, β = 90.00°, γ = 90.00°
With the nearest neighbours (Å) after each atom.
Fractional positions:
Sm  0.0000  0.0000  0.0000  8 Zn 3.13
Sm  0.0000  0.0000  0.6750  4 Zn 3.16, 4 Ag 3.22
Sm  0.0000  0.0000  0.3250  4 Zn 3.16, 4 Ag 3.22
Zn  0.5000  0.5000  0.8393  8 Sm 3.13-3.16
Zn  0.5000  0.5000  0.1607  8 Sm 3.13-3.16
Ag  0.5000  0.5000  0.5000  8 Sm 3.22

E_form	-314	meV per atom
volume	147.3	Å³/cell
theoretical density	7.77	g/cm3
DOS(E_F)	0.99	states/eV per atom

***

2.
Density functional theory data (PBE-GGA) for a geometry-optimized MnV2Pd5 structure.

a = 4.0129 Å, b = 5.4696 Å, c = 10.9058 Å
α = 90.00°, β = 90.00°, γ = 90.00°
With the nearest neighbours (Å) after each atom.
Fractional positions:
Mn  0.0000  0.0000  0.5000  8 Pd 2.62-2.73
Mn  0.0000  0.5000  0.0000  8 Pd 2.62-2.73
V  0.5000  0.2952  0.3624  10 Pd 2.70-2.79, 2 Mn 2.98
V  0.5000  0.7048  0.6376  10 Pd 2.70-2.79, 2 Mn 2.98
V  0.5000  0.2048  0.8624  10 Pd 2.70-2.79, 2 Mn 2.98
V  0.5000  0.7952  0.1376  10 Pd 2.70-2.79, 2 Mn 2.98
Pd  0.5000  0.2884  0.1129  2 Mn 2.62, 4 V 2.71-2.79, 6 Pd 2.83-2.86
Pd  0.5000  0.7116  0.8871  2 Mn 2.62, 4 V 2.71-2.79, 6 Pd 2.83-2.86
Pd  0.5000  0.7884  0.3871  2 Mn 2.62, 4 V 2.71-2.79, 6 Pd 2.83-2.86
Pd  0.5000  0.2116  0.6129  2 Mn 2.62, 4 V 2.71-2.79, 6 Pd 2.83-2.86
Pd  0.0000  0.9548  0.7454  1 Mn 2.69, 4 V 2.70-2.74, 7 Pd 2.74-2.86
Pd  0.0000  0.0452  0.2546  1 Mn 2.69, 4 V 2.70-2.74, 7 Pd 2.74-2.86
Pd  0.0000  0.4548  0.7546  1 Mn 2.69, 4 V 2.70-2.74, 7 Pd 2.74-2.86
Pd  0.0000  0.5452  0.2454  1 Mn 2.69, 4 V 2.70-2.74, 7 Pd 2.74-2.86
Pd  0.0000  0.5000  0.5000  2 Mn 2.73, 4 V 2.74, 6 Pd 2.79-2.83
Pd  0.0000  0.0000  0.0000  2 Mn 2.73, 4 V 2.74, 6 Pd 2.79-2.83

E_form	-123	meV per atom
E above lowest polymorph	0.0	kJ per mole of atoms
volume	239.4	Å³/cell
theoretical density	9.56	g/cm3
DOS(E_F)	1.62	states/eV per atom

***

3.
Density functional theory data (PBE-GGA) for a geometry-optimized Tb5CSe4 structure.

a = 5.6761 Å, b = 6.9745 Å, c = 6.9745 Å
α = 80.47°, β = 65.99°, γ = 65.99°
With the nearest neighbours (Å) after each atom.
Fractional positions:
Tb  0.9101  0.3516  0.8304  1 C 2.49
Tb  0.2617  0.8304  0.6484  1 C 2.49
Tb  0.7404  0.1696  0.3516  1 C 2.49
Tb  0.0920  0.6484  0.1696  1 C 2.49
Tb  0.5004  0.0000  0.0000  2 C 2.83-2.84, 4 Se 2.88
C  0.0016  0.0000  0.0000  4 Tb 2.49
Se  0.4092  0.3977  0.7859  6 Tb 2.87-3.13
Se  0.8069  0.7859  0.6023  6 Tb 2.87-3.13
Se  0.1951  0.2141  0.3977  6 Tb 2.87-3.13
Se  0.5928  0.6023  0.2141  6 Tb 2.87-3.13

E above lowest polymorph	0.0	kJ per mole of atoms
volume	230.4	Å³/cell
theoretical density	8.09	g/cm3
DOS(E_F)	0.49	states/eV per atom

***

4.
Density functional theory data (PBE-GGA) for a geometry-optimized CaTlOs structure.

a = 4.8247 Å, b = 4.8247 Å, c = 4.8247 Å
α = 60.00°, β = 60.00°, γ = 60.00°
With the nearest neighbours (Å) after each atom.
Fractional positions:
Tl  0.5000  0.5000  0.5000  4 Ca 2.95
Os  0.0000  0.0000  0.0000  4 Ca 2.95
Ca  0.2500  0.2500  0.2500  4 Tl 2.95, 4 Os 2.95

E_form	1277	meV per atom
volume	79.4	Å³/cell
theoretical density	9.09	g/cm3
DOS(E_F)	2.49	states/eV per atom

***

5.
Density functional theory data (PBE-GGA) for a geometry-optimized YCu2Ir2 structure.

a = 3.9339 Å, b = 3.9339 Å, c = 6.2948 Å
α = 71.79°, β = 71.79°, γ = 90.00°
With the nearest neighbours (Å) after each atom.
Fractional positions:
Y  0.0000  0.0000  0.0000  8 Ir 3.03
Ir  0.3934  0.3934  0.2131  1 Ir 2.41, 4 Cu 2.55
Ir  0.6066  0.6066  0.7869  1 Ir 2.41, 4 Cu 2.55
Cu  0.7500  0.2500  0.5000  4 Ir 2.55, 4 Cu 2.78
Cu  0.2500  0.7500  0.5000  4 Ir 2.55, 4 Cu 2.78

E_form	-148	meV per atom
E above lowest polymorph	0.0	kJ per mole of atoms
volume	87.4	Å³/cell
theoretical density	11.41	g/cm3
DOS(E_F)	1.29	states/eV per atom

***

6.
Density functional theory data (PBE-GGA) for a geometry-optimized Ce2InPb4 structure.

a = 4.7669 Å, b = 6.7405 Å, c = 6.7405 Å
α = 93.01°, β = 90.00°, γ = 90.00°
With the nearest neighbours (Å) after each atom.
Fractional positions:
Pb  0.0000  0.7672  0.7672  4 Ce 3.33-3.42, 4 Pb 3.42, 2 In 3.44
Pb  0.0000  0.2328  0.2328  4 Ce 3.33-3.42, 4 Pb 3.42, 2 In 3.44
Pb  0.5000  0.0000  0.5000  4 Ce 3.33, 2 In 3.37, 4 Pb 3.42
Pb  0.5000  0.5000  0.0000  4 Ce 3.33, 2 In 3.37, 4 Pb 3.42
Ce  0.0000  0.7407  0.2593  8 Pb 3.33-3.42, 2 In 3.35
Ce  0.0000  0.2593  0.7407  8 Pb 3.33-3.42, 2 In 3.35
In  0.5000  0.5000  0.5000  4 Ce 3.35, 8 Pb 3.37-3.44

E_form	-310	meV per atom
volume	216.3	Å³/cell
theoretical density	9.40	g/cm3
DOS(E_F)	1.55	states/eV per atom